1.
First-principles (PBE) data for a relaxed structure of Cs2MnIr, as listed in Alexandria via LeMat-Bulk.

a b c (Å): 5.889 5.889 5.889
angles (deg): 60.00 60.00 60.00
Fractional positions:
Cs 0.250 0.250 0.250
Cs 0.750 0.750 0.750
Mn 0.000 0.000 0.000
Ir 0.500 0.500 0.500

## Properties
Formation energy in eV/atom: 1.4394
Crystal system: cubic
Calculated total energy in Ha/atom: -0.128

2.
First-principles (PBE) data for a relaxed structure of CsMnIrRh2, as listed in Alexandria via LeMat-Bulk.

a b c (Å): 4.714 4.714 4.596
angles (deg): 90.00 90.00 90.00
Fractional positions:
Cs 0.000 0.000 0.000
Mn 0.500 0.500 0.500
Ir 0.500 0.500 0.000
Rh 0.000 0.500 0.500
Rh 0.500 0.000 0.500

## Properties
Formation energy in eV/atom: 1.1035
Crystal system: tetragonal
Calculated total energy in Ha/atom: -0.206

3.
First-principles (PBE) data for a relaxed structure of CsMn2IrRu, as listed in Alexandria via LeMat-Bulk.

a b c (Å): 5.086 5.086 4.799
angles (deg): 90.00 90.00 90.00
Fractional positions:
Cs 0.000 0.000 0.000
Mn 0.000 0.500 0.500
Mn 0.500 0.000 0.500
Ir 0.500 0.500 0.500
Ru 0.500 0.500 0.000

## Properties
Formation energy in eV/atom: 1.0634
Crystal system: tetragonal
Calculated total energy in Ha/atom: -0.235

4.
First-principles (PBE) data for a relaxed structure of CsMo2Ir2, as listed in Alexandria via LeMat-Bulk.

a b c (Å): 5.969 5.969 5.969
angles (deg): 134.21 134.21 66.75
Fractional positions:
Cs 0.000 0.000 0.000
Mo 0.367 0.367 0.000
Mo 0.633 0.633 0.000
Ir 0.250 0.750 0.500
Ir 0.750 0.250 0.500

## Properties
Formation energy in eV/atom: 0.8557
Crystal system: tetragonal
Calculated total energy in Ha/atom: -0.264
ΔE to the lowest computed polymorph in meV per atom: 225

5.
First-principles (PBE) data for a relaxed structure of CsMoIr3, as listed in Alexandria via LeMat-Bulk.

a b c (Å): 4.896 4.896 4.896
angles (deg): 90.00 90.00 90.00
Fractional positions:
Cs 0.000 0.000 0.000
Mo 0.500 0.500 0.500
Ir 0.000 0.500 0.500
Ir 0.500 0.000 0.500
Ir 0.500 0.500 0.000

## Properties
Formation energy in eV/atom: 1.3981
Crystal system: cubic
Calculated total energy in Ha/atom: -0.230
ΔE to the lowest computed polymorph in meV per atom: 0

6.
First-principles (PBE) data for a relaxed structure of CsMo3Ir, as listed in Alexandria via LeMat-Bulk.

a b c (Å): 4.977 4.977 4.977
angles (deg): 90.00 90.00 90.00
Fractional positions:
Cs 0.000 0.000 0.000
Mo 0.000 0.500 0.500
Mo 0.500 0.000 0.500
Mo 0.500 0.500 0.000
Ir 0.500 0.500 0.500

## Properties
Formation energy in eV/atom: 1.7814
Crystal system: cubic
Calculated total energy in Ha/atom: -0.245
ΔE to the lowest computed polymorph in meV per atom: 0

7.
First-principles (PBE) data for a relaxed structure of CsMo2Ir2, as listed in Alexandria via LeMat-Bulk.

a b c (Å): 8.236 8.236 2.863
angles (deg): 90.00 90.00 90.00
Fractional positions:
Cs 0.000 0.000 0.000
Cs 0.500 0.500 0.000
Mo 0.112 0.388 0.000
Mo 0.388 0.888 0.000
Mo 0.612 0.112 0.000
Mo 0.888 0.612 0.000
Ir 0.162 0.662 0.500
Ir 0.338 0.162 0.500
Ir 0.662 0.838 0.500
Ir 0.838 0.338 0.500

## Properties
Formation energy in eV/atom: 0.6305
Crystal system: tetragonal
Calculated total energy in Ha/atom: -0.273
ΔE to the lowest computed polymorph in meV per atom: 0

8.
First-principles (PBE) data for a relaxed structure of CsMoIr3, as listed in Alexandria via LeMat-Bulk.

a b c (Å): 4.876 4.876 4.876
angles (deg): 90.00 90.00 90.00
Fractional positions:
Cs 0.000 0.000 0.000
Mo 0.500 0.500 0.500
Ir 0.000 0.000 0.500
Ir 0.000 0.500 0.000
Ir 0.500 0.000 0.000

## Properties
Formation energy in eV/atom: 3.5209
Crystal system: cubic
Calculated total energy in Ha/atom: -0.152
ΔE to the lowest computed polymorph in meV per atom: 2123

9.
First-principles (PBE) data for a relaxed structure of Cs3MoIr, as listed in Alexandria via LeMat-Bulk.

a b c (Å): 6.375 6.375 6.375
angles (deg): 90.00 90.00 90.00
Fractional positions:
Cs 0.000 0.000 0.500
Cs 0.000 0.500 0.000
Cs 0.500 0.000 0.000
Mo 0.500 0.500 0.500
Ir 0.000 0.000 0.000

## Properties
Formation energy in eV/atom: 1.5275
Crystal system: cubic
Calculated total energy in Ha/atom: -0.107
ΔE to the lowest computed polymorph in meV per atom: 0

10.
First-principles (PBE) data for a relaxed structure of CsMo3Ir, as listed in Alexandria via LeMat-Bulk.

a b c (Å): 4.805 4.805 4.805
angles (deg): 90.00 90.00 90.00
Fractional positions:
Cs 0.000 0.000 0.000
Mo 0.000 0.000 0.500
Mo 0.000 0.500 0.000
Mo 0.500 0.000 0.000
Ir 0.500 0.500 0.500

## Properties
Formation energy in eV/atom: 3.4619
Crystal system: cubic
Calculated total energy in Ha/atom: -0.183
ΔE to the lowest computed polymorph in meV per atom: 1681

11.
First-principles (PBE) data for a relaxed structure of CsMo2Ir, as listed in Alexandria via LeMat-Bulk.

a b c (Å): 4.673 4.673 4.673
angles (deg): 60.00 60.00 60.00
Fractional positions:
Cs 0.000 0.000 0.000
Mo 0.250 0.250 0.250
Mo 0.750 0.750 0.750
Ir 0.500 0.500 0.500

## Properties
Formation energy in eV/atom: 1.5466
Crystal system: cubic
Calculated total energy in Ha/atom: -0.231

12.
First-principles (PBE) data for a relaxed structure of CsMo2IrS8, as listed in Alexandria via LeMat-Bulk.

a b c (Å): 10.219 10.219 10.219
angles (deg): 35.40 35.40 35.40
Fractional positions:
Cs 0.000 0.000 0.000
Mo 0.237 0.237 0.237
Mo 0.763 0.763 0.763
Ir 0.500 0.500 0.500
S 0.141 0.453 0.759
S 0.241 0.859 0.547
S 0.313 0.313 0.313
S 0.453 0.759 0.141
S 0.547 0.241 0.859
S 0.687 0.687 0.687
S 0.759 0.141 0.453
S 0.859 0.547 0.241

## Properties
Crystal system: trigonal
Calculated total energy in Ha/atom: -0.215
ΔE_f (raw) in kJ/mol of formula units: -546

- calculated total energy of number 4 (CsMo2Ir2)?
  -0.264 Ha/atom

- Which value of calculated total energy does entry 7 give?
  -0.273 Ha/atom

- Among the records above, which one has the lowest calculated total energy?
  number 7

Repeat the eighth record exactly.
First-principles (PBE) data for a relaxed structure of CsMoIr3, as listed in Alexandria via LeMat-Bulk.

a b c (Å): 4.876 4.876 4.876
angles (deg): 90.00 90.00 90.00
Fractional positions:
Cs 0.000 0.000 0.000
Mo 0.500 0.500 0.500
Ir 0.000 0.000 0.500
Ir 0.000 0.500 0.000
Ir 0.500 0.000 0.000

## Properties
Formation energy in eV/atom: 3.5209
Crystal system: cubic
Calculated total energy in Ha/atom: -0.152
ΔE to the lowest computed polymorph in meV per atom: 2123